[1]
VASP calculation (PBE-GGA) on crystalline NaAl2As2 at its relaxed geometry.

Calculated volume (A^3/atom): 23.7
Spin magnetization (Bohr magnetons per cell): 0.00
ΔE to the lowest computed polymorph (meV/atom): 0
Formation energy (eV per atom): -0.29

a b c (Å): 4.2232 4.2232 13.2803
angles (deg): 90.00 90.00 90.00
Fractional positions:
Na1 0.0000 0.0000 0.0000
Na2 0.5000 0.5000 0.5000
Al1 0.0000 0.5000 0.2500
Al2 0.0000 0.5000 0.7500
Al3 0.5000 0.0000 0.2500
Al4 0.5000 0.0000 0.7500
As1 0.0000 0.0000 0.3614
As2 0.0000 0.0000 0.6386
As3 0.5000 0.5000 0.1386
As4 0.5000 0.5000 0.8614

=====

[2]
VASP calculation (PBE-GGA) on crystalline Na3AlAs2 at its relaxed geometry.

Calculated volume (A^3/atom): 24.9
Spin magnetization (Bohr magnetons per cell): 0.00
ΔE to the lowest computed polymorph (meV/atom): 0
Formation energy (eV per atom): -0.52

a b c (Å): 8.2964 8.2964 8.2964
angles (deg): 130.08 68.80 135.87
Fractional positions:
Na1 0.1896 0.6854 0.8751
Na2 0.2500 0.2500 0.0000
Na3 0.3104 0.1854 0.4958
Na4 0.6896 0.8146 0.5042
Na5 0.7500 0.7500 0.0000
Na6 0.8104 0.3146 0.1249
Al1 0.2500 0.7500 0.5000
Al2 0.7500 0.2500 0.5000
As1 0.1034 0.2983 0.4018
As2 0.3966 0.7983 0.1949
As3 0.6034 0.2017 0.8051
As4 0.8966 0.7017 0.5982

=====

[3]
VASP calculation (PBE-GGA) on crystalline Na2AlAs at its relaxed geometry.

Calculated volume (A^3/atom): 22.6
Spin magnetization (Bohr magnetons per cell): 0.00
ΔE to the lowest computed polymorph (meV/atom): 102
Formation energy (eV per atom): 0.10

a b c (Å): 4.1069 4.1069 21.4681
angles (deg): 90.00 90.00 90.00
Fractional positions:
Na1 0.2376 0.2500 0.1250
Na2 0.2500 0.7376 0.3750
Na3 0.2500 0.7624 0.8750
Na4 0.2624 0.2500 0.6250
Na5 0.7376 0.7500 0.6250
Na6 0.7500 0.2376 0.8750
Na7 0.7500 0.2624 0.3750
Na8 0.7624 0.7500 0.1250
Al1 0.0000 0.0000 0.5000
Al2 0.0000 0.5000 0.7500
Al3 0.5000 0.0000 0.2500
Al4 0.5000 0.5000 0.0000
As1 0.0000 0.0000 0.0000
As2 0.0000 0.5000 0.2500
As3 0.5000 0.0000 0.7500
As4 0.5000 0.5000 0.5000

=====

[4]
VASP calculation (PBE-GGA) on crystalline Na3AlAs2 at its relaxed geometry.

Calculated volume (A^3/atom): 24.3
Spin magnetization (Bohr magnetons per cell): 0.00
ΔE to the lowest computed polymorph (meV/atom): 72
Formation energy (eV per atom): -0.45

a b c (Å): 8.3082 8.3082 8.3130
angles (deg): 101.26 101.26 31.20
Fractional positions:
Na1 0.0610 0.0610 0.1786
Na2 0.1916 0.1916 0.5593
Na3 0.3123 0.3123 0.9311
Na4 0.6877 0.6877 0.0689
Na5 0.8084 0.8084 0.4407
Na6 0.9390 0.9390 0.8214
Al1 0.4396 0.4396 0.3250
Al2 0.5604 0.5604 0.6750
As1 0.1195 0.1195 0.8440
As2 0.3984 0.3984 0.6034
As3 0.6016 0.6016 0.3966
As4 0.8805 0.8805 0.1560

=====

[5]
VASP calculation (PBE-GGA) on crystalline NaAl2As at its relaxed geometry.

Calculated volume (A^3/atom): 22.2
Spin magnetization (Bohr magnetons per cell): 0.00
Formation energy (eV per atom): -0.06

a b c (Å): 8.1250 8.1250 5.3839
angles (deg): 90.00 90.00 90.00
Fractional positions:
Na1 0.0000 0.0000 0.0000
Na2 0.0000 0.5000 0.2500
Na3 0.5000 0.0000 0.7500
Na4 0.5000 0.5000 0.5000
Al1 0.1831 0.2500 0.6250
Al2 0.2500 0.6831 0.8750
Al3 0.2500 0.8169 0.3750
Al4 0.3169 0.2500 0.1250
Al5 0.6831 0.7500 0.1250
Al6 0.7500 0.1831 0.3750
Al7 0.7500 0.3169 0.8750
Al8 0.8169 0.7500 0.6250
As1 0.0000 0.0000 0.5000
As2 0.0000 0.5000 0.7500
As3 0.5000 0.0000 0.2500
As4 0.5000 0.5000 0.0000

=====

[6]
VASP calculation (PBE-GGA) on crystalline Na2AlNi3As4 at its relaxed geometry.

Calculated volume (A^3/atom): 17.0
Spin magnetization (Bohr magnetons per cell): 0.00
Formation energy (eV per atom): -0.34

a b c (Å): 4.0680 4.0680 10.2994
angles (deg): 90.00 90.00 90.00
Fractional positions:
Na1 0.0000 0.5000 0.2438
Na2 0.5000 0.0000 0.7562
Al1 0.0000 0.0000 0.5000
Ni1 0.0000 0.5000 0.8777
Ni2 0.5000 0.0000 0.1223
Ni3 0.5000 0.5000 0.5000
As1 0.0000 0.0000 0.0000
As2 0.0000 0.5000 0.6459
As3 0.5000 0.0000 0.3541
As4 0.5000 0.5000 0.0000